# PBE NaNdBe2H8, relaxed
# Uncorrected energy ... -3.6489 eV per atom
data_NaNdBe2H8
_cell_length_a 4.4800
_cell_length_b 4.4800
_cell_length_c 7.2530
_cell_angle_alpha 90.00
_cell_angle_beta 90.00
_cell_angle_gamma 120.00
_space_group_name_H-M_alt 'P -3'
_space_group_IT_number 147
_space_group_name_Hall '-P 3'
loop_
_atom_site_label
_atom_site_type_symbol
_atom_site_fract_x
_atom_site_fract_y
_atom_site_fract_z
_atom_site_occupancy
Na1 Na 0.0000 0.0000 0.0000 1
Nd1 Nd 0.0000 0.0000 0.5000 1
Be1 Be 0.3333 0.6667 0.2852 1
H1 H 0.0639 0.3362 0.2375 1
H2 H 0.3333 0.6667 0.4887 1